(1)
TiCdPd2: optimized geometry, PBE.

abc: 2.9935 2.9935 8.9157
angles: 80.48 80.48 60.27
Last column: nearest neighbours and their distance in Å.
Atoms (fractional coordinates):
Ti: 0.6665 0.6665 0.9999  6 Pd 2.65
Cd: 0.5010 0.5010 0.5000  6 Pd 2.93-2.94, 6 Cd 2.99-3.01
Pd: 0.0765 0.0765 0.7706  3 Ti 2.65, 3 Cd 2.93-2.94
Pd: 0.2560 0.2560 0.2295  3 Ti 2.65, 3 Cd 2.93

Computed properties:
E = -5.1596 eV per atom
total moment = 0.00 Bohr magnetons per cell
space-group type = Cm
formation energy from the elements = -360.7 meV/atom

---

(2)
CsZnSnSe3: optimized geometry, PBE.

abc: 4.0881 10.0142 10.3003
angles: 110.42 90.00 90.00
Last column: nearest neighbours and their distance in Å.
Atoms (fractional coordinates):
Cs: 0.2500 0.2053 0.2443  7 Se 3.70-3.79, 2 Cs 4.09
Cs: 0.7500 0.7947 0.7557  7 Se 3.70-3.79, 2 Cs 4.09
Zn: 0.2500 0.0820 0.6090  4 Se 2.48-2.56
Zn: 0.7500 0.9180 0.3910  4 Se 2.48-2.56
Sn: 0.2500 0.6600 0.1280  5 Se 2.76-2.88
Sn: 0.7500 0.3399 0.8720  5 Se 2.76-2.88
Se: 0.7500 0.8654 0.1377  1 Zn 2.48
Se: 0.2500 0.1346 0.8623  1 Zn 2.48
Se: 0.2500 0.8153 0.4642  3 Zn 2.52-2.56
Se: 0.7500 0.1847 0.5358  3 Zn 2.52-2.56
Se: 0.7500 0.4700 0.1561  3 Sn 2.76-2.88
Se: 0.2500 0.5300 0.8439  3 Sn 2.76-2.88

Computed properties:
raw formation energy = -0.714 eV per atom
E = -3.4780 eV per atom
total moment = 0.00 Bohr magnetons per cell
space-group type = P2_1/m